# CaCO2 | the Alexandria database | GGA-PBE | optimized geometry
data_CaCO2
_chemical_formula_sum 'Ca3 C3 O6'
_cell_length_a 2.9128
_cell_length_b 2.9128
_cell_length_c 18.6746
_cell_angle_alpha 90.00
_cell_angle_beta 90.00
_cell_angle_gamma 120.00
_symmetry_space_group_name_H-M 'R -3 m'
_symmetry_Int_Tables_number 166
_symmetry_space_group_name_Hall '-R 3 2"'
loop_
_atom_site_label
_atom_site_fract_x
_atom_site_fract_y
_atom_site_fract_z
Ca1 0.0000 0.0000 0.0000
C1 0.0000 0.0000 0.5000
O1 0.0000 0.0000 0.1165
# - ΔE_f (raw): 0.90 eV per atom